This record from the Alexandria database describes La3PmNd6Ho2 after structural relaxation. The functional is PBE.

POSCAR file:
```
La3PmNd6Ho2
1.0
3.1787 -5.5097 0.0000
3.1787 5.5097 0.0000
-2.1338 0.0000 11.9890
La Pm Nd Ho
3 1 6 2
Direct
0.0000 0.0000 0.0000 La
0.3331 0.6669 0.0000 La
0.6669 0.3331 0.0000 La
0.5000 0.5000 0.5000 Pm
0.0841 0.4185 0.2554 Nd
0.2474 0.2474 0.7446 Nd
0.4185 0.0841 0.2554 Nd
0.5815 0.9159 0.7446 Nd
0.7526 0.7526 0.2554 Nd
0.9159 0.5815 0.7446 Nd
0.1667 0.8333 0.5000 Ho
0.8333 0.1667 0.5000 Ho
```

Summary:
- electronic total energy (eV/cell) = -57.1
- magnetic moment (Bohr magnetons per cell) = 0.000
- ΔE_f (eV per atom) = 0.02



This record from the Alexandria database describes La4Pm2NdHo2 after structural relaxation. The functional is PBE.

POSCAR file:
```
La4Pm2NdHo2
1.0
9.5208 -1.8350 0.0000
9.5208 1.8350 0.0000
-0.0690 0.0000 8.9939
La Pm Nd Ho
4 2 1 2
Direct
0.0562 0.0562 0.1695 La
0.2767 0.2767 0.8280 La
0.7233 0.7233 0.1720 La
0.9438 0.9438 0.8305 La
0.3889 0.3889 0.1710 Pm
0.6111 0.6111 0.8290 Pm
0.5000 0.5000 0.5000 Nd
0.1676 0.1676 0.5021 Ho
0.8324 0.8324 0.4979 Ho
```

Summary:
- electronic total energy (eV/cell) = -42.9
- magnetic moment (Bohr magnetons per cell) = 0.000
- ΔE_f (eV per atom) = 0.02



This record from the Alexandria database describes La2Pm3NdHo6 after structural relaxation. The functional is PBE.

POSCAR file:
```
La2Pm3NdHo6
1.0
3.1344 -5.4287 0.0000
3.1344 5.4287 0.0000
-2.0844 0.0000 11.6440
La Pm Nd Ho
2 3 1 6
Direct
0.1666 0.8334 0.0000 La
0.8334 0.1666 0.0000 La
0.0000 0.0000 0.5000 Pm
0.3335 0.6665 0.5000 Pm
0.6665 0.3335 0.5000 Pm
0.5000 0.5000 0.0000 Nd
0.0829 0.4157 0.7478 Ho
0.2517 0.2517 0.2522 Ho
0.4157 0.0829 0.7478 Ho
0.5843 0.9171 0.2522 Ho
0.7483 0.7483 0.7478 Ho
0.9171 0.5843 0.2522 Ho
```

Summary:
- electronic total energy (eV/cell) = -56.2
- magnetic moment (Bohr magnetons per cell) = 0.000
- ΔE_f (eV per atom) = 0.01



This record from the Alexandria database describes La4Pm2NdHo after structural relaxation. The functional is PBE.

POSCAR file:
```
La4Pm2NdHo
1.0
5.2322 0.0000 0.0000
0.0000 5.2647 0.0000
0.0000 0.0000 10.2590
La Pm Nd Ho
4 2 1 1
Direct
0.0000 0.0000 0.2477 La
0.0000 0.0000 0.7523 La
0.5000 0.5000 0.2481 La
0.5000 0.5000 0.7519 La
0.0000 0.5000 0.0000 Pm
0.5000 0.0000 0.5000 Pm
0.0000 0.5000 0.5000 Nd
0.5000 0.0000 0.0000 Ho
```

Summary:
- electronic total energy (eV/cell) = -38.4
- magnetic moment (Bohr magnetons per cell) = 0.000
- ΔE_f (eV per atom) = 0.01



This record from the Alexandria database describes La2PmNd6Ho after structural relaxation. The functional is PBE.

POSCAR file:
```
La2PmNd6Ho
1.0
4.6193 -7.6640 0.0000
4.6193 7.6640 0.0000
-1.7716 0.0000 9.9798
La Pm Nd Ho
4 2 12 2
Direct
0.1938 0.2899 0.0412 La
0.2899 0.1938 0.5412 La
0.7101 0.8062 0.4588 La
0.8062 0.7101 0.9588 La
0.0123 0.9877 0.2500 Pm
0.9877 0.0123 0.7500 Pm
0.0171 0.5785 0.1888 Nd
0.1202 0.7400 0.5554 Nd
0.2600 0.8798 0.9446 Nd
0.2981 0.5036 0.3797 Nd
0.4215 0.9829 0.3112 Nd
0.4964 0.7019 0.1203 Nd
0.5036 0.2981 0.8797 Nd
0.5785 0.0171 0.6888 Nd
0.7019 0.4964 0.6203 Nd
0.7400 0.1202 0.0554 Nd
0.8798 0.2600 0.4446 Nd
0.9829 0.4215 0.8112 Nd
0.4054 0.5946 0.7500 Ho
0.5946 0.4054 0.2500 Ho
```

Summary:
- electronic total energy (eV/cell) = -93.4
- magnetic moment (Bohr magnetons per cell) = 0.001
- ΔE_f (eV per atom) = 0.11



This record from the Alexandria database describes La2PmNd4Ho after structural relaxation. The functional is PBE.

POSCAR file:
```
La2PmNd4Ho
1.0
5.1825 0.0000 0.0000
0.0000 5.1962 0.0000
-0.0190 0.0000 10.4376
La Pm Nd Ho
2 1 4 1
Direct
0.0000 0.0000 0.0000 La
0.5000 0.5000 0.5000 La
0.0000 0.0000 0.5000 Pm
0.0008 0.5000 0.7519 Nd
0.4998 0.0000 0.2487 Nd
0.5002 0.0000 0.7513 Nd
0.9992 0.5000 0.2481 Nd
0.5000 0.5000 0.0000 Ho
```

Summary:
- electronic total energy (eV/cell) = -38.1
- magnetic moment (Bohr magnetons per cell) = 0.000
- ΔE_f (eV per atom) = 0.02